No. 1
VASP calculation (PBE-GGA) on a relaxed LiLaW2 crystal. Values from VASP.

Quantum ESPRESSO input file:
```
&SYSTEM
  ibrav = 0, nat = 4, ntyp = 3
/
ATOMIC_SPECIES
Li 6.94 Li.upf
La 138.91 La.upf
W 183.84 W.upf
ATOMIC_POSITIONS crystal
Li 0.000 0.000 0.000
La 0.500 0.500 0.310
W 0.000 0.000 0.577
W 0.500 0.500 0.773
CELL_PARAMETERS angstrom
1.619 -2.456 0.000
1.619 2.456 0.000
0.000 0.000 10.166
```

Properties
As for the magnetization: 0.00 μB per formula unit. The uncorrected energy is -7.69 eV/atom. As for the volume: 20.21 Å³ per atom. The offset from the most stable computed form is 17 kJ/mol of formula units. The density of states at the Fermi level is 3.63 states/eV/f.u.

***

No. 2
VASP calculation (PBE-GGA) on a relaxed TlRe2Ag crystal. Values from VASP.

Quantum ESPRESSO input file:
```
&SYSTEM
  ibrav = 0, nat = 4, ntyp = 3
/
ATOMIC_SPECIES
Tl 204.38 Tl.upf
Re 186.21 Re.upf
Ag 107.87 Ag.upf
ATOMIC_POSITIONS crystal
Tl 0.000 0.000 0.000
Re 0.533 0.533 0.000
Re 0.728 0.228 0.500
Ag 0.264 0.764 0.500
CELL_PARAMETERS angstrom
-1.889 2.332 4.105
1.889 -2.332 4.105
1.889 2.332 -4.105
```

Properties
As for the magnetization: 0.00 μB per formula unit. The uncorrected energy is -6.62 eV/atom. As for the volume: 18.09 Å³ per atom. The offset from the most stable computed form is 171 kJ/mol of formula units. The density of states at the Fermi level is 3.74 states/eV/f.u.

***

No. 3
VASP calculation (PBE-GGA) on a relaxed YNi2Te crystal. Values from VASP.

Quantum ESPRESSO input file:
```
&SYSTEM
  ibrav = 0, nat = 4, ntyp = 3
/
ATOMIC_SPECIES
Y 88.91 Y.upf
Ni 58.69 Ni.upf
Te 127.60 Te.upf
ATOMIC_POSITIONS crystal
Y 0.000 0.000 0.000
Ni 0.000 0.000 0.440
Ni 0.500 0.500 0.239
Te 0.500 0.500 0.630
CELL_PARAMETERS angstrom
3.432 0.000 0.000
0.000 3.432 0.000
0.000 0.000 6.378
```

Properties
As for the magnetization: 0.00 μB per formula unit. The uncorrected energy is -5.51 eV/atom. As for the volume: 18.78 Å³ per atom. The value obtained for the energy relative to the elements, uncorrected is -0.2145 eV/atom. The density of states at the Fermi level is 3.06 states/eV/f.u.

***

No. 4
VASP calculation (PBE-GGA) on a relaxed LiZnGe3 crystal. Values from VASP.

Quantum ESPRESSO input file:
```
&SYSTEM
  ibrav = 0, nat = 5, ntyp = 3
/
ATOMIC_SPECIES
Li 6.94 Li.upf
Zn 65.41 Zn.upf
Ge 72.64 Ge.upf
ATOMIC_POSITIONS crystal
Li 0.000 0.000 0.000
Zn 0.500 0.500 0.500
Ge 0.000 0.500 0.500
Ge 0.500 0.000 0.500
Ge 0.500 0.500 0.000
CELL_PARAMETERS angstrom
4.905 0.000 0.000
0.000 4.905 0.000
0.000 0.000 4.905
```

Properties
As for the magnetization: 0.00 μB per formula unit. The uncorrected energy is -2.95 eV/atom. As for the volume: 23.60 Å³ per atom. The offset from the most stable computed form is 0 kJ/mol of formula units. The density of states at the Fermi level is 2.22 states/eV/f.u.

***

No. 5
VASP calculation (PBE-GGA) on a relaxed LaCeCuSi crystal. Values from VASP.

Quantum ESPRESSO input file:
```
&SYSTEM
  ibrav = 0, nat = 4, ntyp = 4
/
ATOMIC_SPECIES
La 138.91 La.upf
Ce 140.12 Ce.upf
Cu 63.55 Cu.upf
Si 28.09 Si.upf
ATOMIC_POSITIONS crystal
La 0.000 0.000 0.000
Ce 0.500 0.500 0.500
Cu 0.750 0.750 0.750
Si 0.250 0.250 0.250
CELL_PARAMETERS angstrom
0.000 3.623 3.623
3.623 0.000 3.623
3.623 3.623 0.000
```

Properties
As for the magnetization: 1.18 μB per formula unit. The uncorrected energy is -5.40 eV/atom. As for the volume: 23.79 Å³ per atom. The value obtained for the energy relative to the elements, uncorrected is -0.3044 eV/atom. The density of states at the Fermi level is 9.90 states/eV/f.u.

***

No. 6
VASP calculation (PBE-GGA) on a relaxed AsHRhBr2 crystal. Values from VASP.

Quantum ESPRESSO input file:
```
&SYSTEM
  ibrav = 0, nat = 5, ntyp = 4
/
ATOMIC_SPECIES
As 74.92 As.upf
H 1.01 H.upf
Rh 102.91 Rh.upf
Br 79.90 Br.upf
ATOMIC_POSITIONS crystal
As 0.000 0.000 0.000
H 0.000 0.000 0.500
Rh 0.500 0.500 0.000
Br 0.000 0.500 0.500
Br 0.500 0.000 0.500
CELL_PARAMETERS angstrom
4.997 0.000 0.000
0.000 4.997 0.000
0.000 0.000 3.489
```

Properties
As for the magnetization: 1.06 μB per formula unit. The uncorrected energy is -3.01 eV/atom. As for the volume: 17.42 Å³ per atom. The offset from the most stable computed form is 82 kJ/mol of formula units. The density of states at the Fermi level is 3.62 states/eV/f.u.

***

No. 7
VASP calculation (PBE-GGA) on a relaxed Sr2TbPuN4 crystal. Values from VASP.

Quantum ESPRESSO input file:
```
&SYSTEM
  ibrav = 0, nat = 8, ntyp = 4
/
ATOMIC_SPECIES
Sr 87.62 Sr.upf
Tb 158.93 Tb.upf
Pu 244.00 Pu.upf
N 14.01 N.upf
ATOMIC_POSITIONS crystal
Sr 0.000 0.000 0.000
Sr 0.500 0.500 0.000
Tb 0.000 0.500 0.500
Pu 0.500 0.000 0.500
N 0.263 0.000 0.699
N 0.273 0.500 0.293
N 0.727 0.500 0.707
N 0.737 0.000 0.301
CELL_PARAMETERS angstrom
6.102 0.000 0.000
0.000 3.593 0.000
-1.993 0.000 5.990
```

Properties
As for the magnetization: 3.00 μB per formula unit. The uncorrected energy is -8.06 eV/atom. As for the volume: 16.42 Å³ per atom. The value obtained for the energy relative to the elements, uncorrected is -1.1054 eV/atom. The density of states at the Fermi level is 6.18 states/eV/f.u.

***

No. 8
VASP calculation (PBE-GGA) on a relaxed VP2Pd crystal. Values from VASP.

Quantum ESPRESSO input file:
```
&SYSTEM
  ibrav = 0, nat = 8, ntyp = 3
/
ATOMIC_SPECIES
V 50.94 V.upf
P 30.97 P.upf
Pd 106.42 Pd.upf
ATOMIC_POSITIONS crystal
V 0.000 0.000 0.000
V 0.750 0.250 0.500
P 0.115 0.625 0.990
P 0.375 0.365 0.490
P 0.635 0.125 0.010
P 0.875 0.885 0.510
Pd 0.250 0.750 0.500
Pd 0.500 0.500 0.000
CELL_PARAMETERS angstrom
-2.711 2.711 5.221
2.711 -2.711 5.221
2.711 2.711 -5.221
```

Properties
As for the magnetization: 0.00 μB per formula unit. The uncorrected energy is -6.40 eV/atom. As for the volume: 19.19 Å³ per atom. The offset from the most stable computed form is 75 kJ/mol of formula units. The density of states at the Fermi level is 3.60 states/eV/f.u.

***

No. 9
VASP calculation (PBE-GGA) on a relaxed CeVSe4 crystal. Values from VASP.

Quantum ESPRESSO input file:
```
&SYSTEM
  ibrav = 0, nat = 12, ntyp = 3
/
ATOMIC_SPECIES
Ce 140.12 Ce.upf
V 50.94 V.upf
Se 78.96 Se.upf
ATOMIC_POSITIONS crystal
Ce 0.129 0.871 0.750
Ce 0.871 0.129 0.250
V 0.500 0.500 0.250
V 0.500 0.500 0.750
Se 0.152 0.282 0.793
Se 0.229 0.554 0.421
Se 0.282 0.152 0.293
Se 0.446 0.771 0.079
Se 0.554 0.229 0.921
Se 0.718 0.848 0.707
Se 0.771 0.446 0.579
Se 0.848 0.718 0.207
CELL_PARAMETERS angstrom
4.317 -6.150 0.000
4.317 6.150 0.000
-3.471 0.000 5.086
```

Properties
As for the magnetization: 0.26 μB per formula unit. The uncorrected energy is -5.82 eV/atom. As for the volume: 22.51 Å³ per atom. The value obtained for the energy relative to the elements, uncorrected is -0.9881 eV/atom. The density of states at the Fermi level is 3.65 states/eV/f.u.

***

> Number 4 is which compound?

LiZnGe3